Entry 1:
## Pm6Cu5Ru (PBE)

Data for crystalline Pm6Cu5Ru at its relaxed geometry.

a = 5.035 Å, b = 15.059 Å, c = 7.112 Å
α = 90.00°, β = 90.00°, γ = 90.00°
Space group Cmmm (No. 65)
Inequivalent atoms, fractional coordinates:
Pm 0.000 0.000 0.243 [4 per cell]
Pm 0.000 0.337 0.247 [8 per cell]
Cu 0.000 0.164 0.500 [4 per cell]
Cu 0.000 0.172 0.000 [4 per cell]
Cu 0.000 0.500 0.500 [2 per cell]
Ru 0.000 0.500 0.000 [2 per cell]

Summary:
ΔH_f (0 K): -183 meV/atom

***

Entry 2:
## Li3GaIr (PBE)

Data for crystalline Li3GaIr at its relaxed geometry.

a = 4.197 Å, b = 3.005 Å, c = 11.586 Å
α = 90.00°, β = 100.35°, γ = 90.00°
Space group P2_1/m (No. 11)
Inequivalent atoms, fractional coordinates:
Li 0.059 0.250 0.112 [2 per cell]
Li 0.246 0.250 0.493 [2 per cell]
Li 0.440 0.250 0.885 [2 per cell]
Ga 0.344 0.750 0.692 [2 per cell]
Ir 0.153 0.750 0.302 [2 per cell]

Summary:
ΔH_f (0 K): -284 meV/atom
Energy above the most stable polymorph in this dataset: 0.0000 eV/atom

***

Entry 3:
## Li3B8C8 (PBE)

Data for crystalline Li3B8C8 at its relaxed geometry.

a = 2.7283 Å, b = 2.7283 Å, c = 24.9949 Å
α = 90.00°, β = 90.00°, γ = 120.00°
Space group P3m1 (No. 156)
Inequivalent atoms, fractional coordinates:
Li 0.0000 0.0000 0.0000 [1 per cell]
Li 0.0000 0.0000 0.1433 [1 per cell]
Li 0.0000 0.0000 0.6212 [1 per cell]
B 0.3333 0.6667 0.2137 [1 per cell]
B 0.3333 0.6667 0.4206 [1 per cell]
B 0.3333 0.6667 0.6913 [1 per cell]
B 0.3333 0.6667 0.9263 [1 per cell]
B 0.6667 0.3333 0.0696 [1 per cell]
B 0.6667 0.3333 0.3418 [1 per cell]
B 0.6667 0.3333 0.5512 [1 per cell]
B 0.6667 0.3333 0.8333 [1 per cell]
C 0.3333 0.6667 0.0692 [1 per cell]
C 0.3333 0.6667 0.3404 [1 per cell]
C 0.3333 0.6667 0.5532 [1 per cell]
C 0.3333 0.6667 0.8325 [1 per cell]
C 0.6667 0.3333 0.2110 [1 per cell]
C 0.6667 0.3333 0.4221 [1 per cell]
C 0.6667 0.3333 0.6892 [1 per cell]
C 0.6667 0.3333 0.9292 [1 per cell]

Summary:
ΔH_f (0 K): 99 meV/atom
Energy above the most stable polymorph in this dataset: 0.0922 eV/atom

***

Entry 4:
## Ac6CdCo2Br3 (PBE)

Data for crystalline Ac6CdCo2Br3 at its relaxed geometry.

a = 21.439 Å, b = 4.277 Å, c = 9.757 Å
α = 90.00°, β = 108.62°, γ = 90.00°
Space group C2/m (No. 12)
Inequivalent atoms, fractional coordinates:
Ac 0.036 0.000 0.272 [4 per cell]
Ac 0.166 0.500 0.135 [4 per cell]
Ac 0.186 0.500 0.563 [4 per cell]
Cd 0.000 0.500 0.000 [2 per cell]
Co 0.172 0.000 0.345 [4 per cell]
Br 0.000 0.500 0.500 [2 per cell]
Br 0.172 0.000 0.846 [4 per cell]

Summary:
Formation energy (no corrections): -0.717 eV per atom

***

no.,total magnetization (μB/cell)
1,0.000
2,0.000
3,0.000
4,0.001